Entry from Alexandria: a relaxed structure of Ac2ZnSnHg6 (PBE-GGA).

E_form = -190 kJ/mol of formula units
mass density = 10.7 g/cm3
M_tot = 0.0 μB per cell
total DFT energy (no corrections) = -1.727 eV per atom

Cell lengths 6.1227, 9.2534, 10.1161 Å; angles 90.00, 90.00, 90.00 degrees
Atoms (fractional coordinates):
1 Ac 0.2500 0.0080 0.2401
2 Ac 0.2500 0.4920 0.2401
3 Ac 0.7500 0.5080 0.7599
4 Ac 0.7500 0.9920 0.7599
5 Zn 0.2500 0.2500 0.7575
6 Zn 0.7500 0.7500 0.2425
7 Sn 0.2500 0.7500 0.7837
8 Sn 0.7500 0.2500 0.2163
9 Hg 0.0056 0.2500 0.9750
10 Hg 0.0074 0.7500 0.4853
11 Hg 0.2500 0.0006 0.6112
12 Hg 0.2500 0.4994 0.6112
13 Hg 0.4926 0.7500 0.4853
14 Hg 0.4944 0.2500 0.9750
15 Hg 0.5056 0.7500 0.0250
16 Hg 0.5074 0.2500 0.5147
17 Hg 0.7500 0.5006 0.3888
18 Hg 0.7500 0.9994 0.3888
19 Hg 0.9926 0.2500 0.5147
20 Hg 0.9944 0.7500 0.0250


Entry from Alexandria: a relaxed structure of Ac2Zn4SnHg3 (PBE-GGA).

E_form = -331 kJ/mol of formula units
mass density = 9.9 g/cm3
M_tot = 0.0 μB per cell
total DFT energy (no corrections) = -2.165 eV per atom

Cell lengths 4.6656, 4.6656, 11.1030 Å; angles 90.00, 90.00, 90.00 degrees
Atoms (fractional coordinates):
1 Ac 0.0000 0.5000 0.2411
2 Ac 0.5000 0.0000 0.7589
3 Zn 0.0000 0.0000 0.0000
4 Zn 0.0000 0.5000 0.6388
5 Zn 0.5000 0.0000 0.3612
6 Zn 0.5000 0.5000 0.0000
7 Sn 0.0000 0.0000 0.5000
8 Hg 0.0000 0.5000 0.8745
9 Hg 0.5000 0.0000 0.1255
10 Hg 0.5000 0.5000 0.5000


Entry from Alexandria: a relaxed structure of SrAc2Hg (PBE-GGA).

excess energy over the best structure of this formula in the dataset = 12.9 kJ/mol of atoms
E_form = -19 kJ/mol of formula units
mass density = 8.0 g/cm3
M_tot = 0.0 μB per cell
total DFT energy (no corrections) = -2.601 eV per atom

Cell lengths 5.4667, 5.4667, 5.1241 Å; angles 90.00, 90.00, 90.00 degrees
Atoms (fractional coordinates):
1 Sr 0.0000 0.0000 0.0000
2 Ac 0.0000 0.5000 0.5000
3 Ac 0.5000 0.0000 0.5000
4 Hg 0.5000 0.5000 0.0000


Entry from Alexandria: a relaxed structure of SrAc3Hg6 (PBE-GGA).

E_form = -427 kJ/mol of formula units
mass density = 10.4 g/cm3
M_tot = 0.0 μB per cell
total DFT energy (no corrections) = -2.024 eV per atom

Cell lengths 9.9193, 5.5131, 12.1224 Å; angles 90.00, 107.83, 90.00 degrees
Atoms (fractional coordinates):
1 Sr 0.0598 0.2500 0.4000
2 Sr 0.9402 0.7500 0.6000
3 Ac 0.2165 0.2500 0.0137
4 Ac 0.3562 0.7500 0.7965
5 Ac 0.4881 0.2500 0.6205
6 Ac 0.5119 0.7500 0.3795
7 Ac 0.6438 0.2500 0.2035
8 Ac 0.7835 0.7500 0.9863
9 Hg 0.0590 0.7500 0.8833
10 Hg 0.1378 0.7500 0.1989
11 Hg 0.1600 0.2500 0.7020
12 Hg 0.2541 0.7500 0.5068
13 Hg 0.3335 0.2500 0.3033
14 Hg 0.4573 0.7500 0.0840
15 Hg 0.5427 0.2500 0.9160
16 Hg 0.6665 0.7500 0.6967
17 Hg 0.7459 0.2500 0.4932
18 Hg 0.8400 0.7500 0.2980
19 Hg 0.8622 0.2500 0.8011
20 Hg 0.9410 0.2500 0.1167


Entry from Alexandria: a relaxed structure of Sr5AcHg4 (PBE-GGA).

E_form = -389 kJ/mol of formula units
mass density = 6.9 g/cm3
M_tot = 0.0 μB per cell
total DFT energy (no corrections) = -1.776 eV per atom

Cell lengths 3.9850, 3.9850, 22.1983 Å; angles 90.00, 90.00, 90.00 degrees
Atoms (fractional coordinates):
1 Sr 0.0000 0.0000 0.0000
2 Sr 0.0000 0.0000 0.1816
3 Sr 0.0000 0.0000 0.3610
4 Sr 0.0000 0.0000 0.6390
5 Sr 0.0000 0.0000 0.8184
6 Ac 0.5000 0.5000 0.5000
7 Hg 0.5000 0.5000 0.0902
8 Hg 0.5000 0.5000 0.2740
9 Hg 0.5000 0.5000 0.7260
10 Hg 0.5000 0.5000 0.9098


Entry from Alexandria: a relaxed structure of SrAc2Hg10 (PBE-GGA).

E_form = -152 kJ/mol of formula units
mass density = 9.2 g/cm3
M_tot = 0.0 μB per cell
total DFT energy (no corrections) = -1.115 eV per atom

Cell lengths 5.8532, 27.1049, 5.8116 Å; angles 90.00, 90.00, 90.00 degrees
Atoms (fractional coordinates):
1 Sr 0.0000 0.0000 0.0000
2 Sr 0.5000 0.5000 0.0000
3 Ac 0.0035 0.3568 0.5000
4 Ac 0.4965 0.8568 0.5000
5 Ac 0.5035 0.1432 0.5000
6 Ac 0.9965 0.6432 0.5000
7 Hg 0.0011 0.4369 0.0000
8 Hg 0.0033 0.1066 0.2537
9 Hg 0.0033 0.1066 0.7463
10 Hg 0.2455 0.6961 0.0000
11 Hg 0.2467 0.8039 0.0000
12 Hg 0.2533 0.3039 0.0000
13 Hg 0.2545 0.1961 0.0000
14 Hg 0.4967 0.6066 0.2537
15 Hg 0.4967 0.6066 0.7463
16 Hg 0.4989 0.9369 0.0000
17 Hg 0.5011 0.0631 0.0000
18 Hg 0.5033 0.3934 0.2537
19 Hg 0.5033 0.3934 0.7463
20 Hg 0.7455 0.8039 0.0000
21 Hg 0.7467 0.6961 0.0000
22 Hg 0.7533 0.1961 0.0000
23 Hg 0.7545 0.3039 0.0000
24 Hg 0.9967 0.8934 0.2537
25 Hg 0.9967 0.8934 0.7463
26 Hg 0.9989 0.5631 0.0000


Entry from Alexandria: a relaxed structure of Sr2AcHg (PBE-GGA).

excess energy over the best structure of this formula in the dataset = 0.0 kJ/mol of atoms
E_form = -82 kJ/mol of formula units
mass density = 6.2 g/cm3
M_tot = 0.0 μB per cell
total DFT energy (no corrections) = -2.157 eV per atom

Cell lengths 3.9628, 3.9628, 10.3412 Å; angles 90.00, 90.00, 90.00 degrees
Atoms (fractional coordinates):
1 Sr 0.0000 0.0000 0.1941
2 Sr 0.0000 0.0000 0.8059
3 Ac 0.5000 0.5000 0.5000
4 Hg 0.5000 0.5000 0.0000


Entry from Alexandria: a relaxed structure of SrAc2Hg (PBE-GGA).

excess energy over the best structure of this formula in the dataset = 18.0 kJ/mol of atoms
E_form = 1 kJ/mol of formula units
mass density = 6.9 g/cm3
M_tot = 0.0 μB per cell
total DFT energy (no corrections) = -2.547 eV per atom

Cell lengths 12.9500, 12.9500, 12.9500 Å; angles 17.83, 17.83, 17.83 degrees
Atoms (fractional coordinates):
1 Sr 0.0000 0.0000 0.0000
2 Ac 0.1023 0.1023 0.1023
3 Ac 0.8977 0.8977 0.8977
4 Hg 0.5000 0.5000 0.5000


Entry from Alexandria: a relaxed structure of Sr2AcHg10 (PBE-GGA).

E_form = -425 kJ/mol of formula units
mass density = 10.7 g/cm3
M_tot = 0.0 μB per cell
total DFT energy (no corrections) = -1.146 eV per atom

Cell lengths 5.9376, 10.1448, 12.4535 Å; angles 90.00, 90.02, 90.00 degrees
Atoms (fractional coordinates):
1 Sr 0.2151 0.1354 0.3245
2 Sr 0.2151 0.3646 0.8245
3 Sr 0.7849 0.6354 0.1755
4 Sr 0.7849 0.8646 0.6755
5 Ac 0.0000 0.0000 0.0000
6 Ac 0.0000 0.5000 0.5000
7 Hg 0.0577 0.1939 0.5957
8 Hg 0.0577 0.3061 0.0957
9 Hg 0.2735 0.6768 0.7072
10 Hg 0.2735 0.8232 0.2072
11 Hg 0.2823 0.0256 0.7718
12 Hg 0.2823 0.4744 0.2718
13 Hg 0.3015 0.5792 0.0409
14 Hg 0.3015 0.9208 0.5409
15 Hg 0.4982 0.1643 0.0622
16 Hg 0.4982 0.3357 0.5622
17 Hg 0.5018 0.6643 0.4378
18 Hg 0.5018 0.8357 0.9378
19 Hg 0.6985 0.0792 0.4591
20 Hg 0.6985 0.4208 0.9591
21 Hg 0.7177 0.5256 0.7282
22 Hg 0.7177 0.9744 0.2282
23 Hg 0.7265 0.1768 0.7928
24 Hg 0.7265 0.3232 0.2928
25 Hg 0.9423 0.6939 0.9043
26 Hg 0.9423 0.8061 0.4043


Entry from Alexandria: a relaxed structure of SrAc5Hg4 (PBE-GGA).

E_form = -341 kJ/mol of formula units
mass density = 9.2 g/cm3
M_tot = 1.2 μB per cell
total DFT energy (no corrections) = -2.697 eV per atom

Cell lengths 4.0504, 4.0504, 22.2997 Å; angles 90.00, 90.00, 90.00 degrees
Atoms (fractional coordinates):
1 Sr 0.0000 0.0000 0.0000
2 Ac 0.5000 0.5000 0.1395
3 Ac 0.5000 0.5000 0.3182
4 Ac 0.5000 0.5000 0.5000
5 Ac 0.5000 0.5000 0.6818
6 Ac 0.5000 0.5000 0.8605
7 Hg 0.0000 0.0000 0.2260
8 Hg 0.0000 0.0000 0.4087
9 Hg 0.0000 0.0000 0.5913
10 Hg 0.0000 0.0000 0.7740


Entry from Alexandria: a relaxed structure of SrAcHg5 (PBE-GGA).

E_form = -234 kJ/mol of formula units
mass density = 9.9 g/cm3
M_tot = 0.0 μB per cell
total DFT energy (no corrections) = -1.389 eV per atom

Cell lengths 5.8970, 5.8970, 6.8110 Å; angles 90.00, 90.00, 111.09 degrees
Atoms (fractional coordinates):
1 Sr 0.0000 0.0000 0.0000
2 Ac 0.5000 0.5000 0.5000
3 Hg 0.0000 0.5000 0.2557
4 Hg 0.0000 0.5000 0.7443
5 Hg 0.5000 0.0000 0.2557
6 Hg 0.5000 0.0000 0.7443
7 Hg 0.5000 0.5000 0.0000


Entry from Alexandria: a relaxed structure of SrAc2Hg2 (PBE-GGA).

E_form = -184 kJ/mol of formula units
mass density = 8.6 g/cm3
M_tot = 0.0 μB per cell
total DFT energy (no corrections) = -2.483 eV per atom

Cell lengths 9.3326, 9.3326, 4.1830 Å; angles 90.00, 90.00, 90.00 degrees
Atoms (fractional coordinates):
1 Sr 0.0000 0.0000 0.0000
2 Sr 0.5000 0.5000 0.0000
3 Ac 0.1581 0.3419 0.5000
4 Ac 0.3419 0.8419 0.5000
5 Ac 0.6581 0.1581 0.5000
6 Ac 0.8419 0.6581 0.5000
7 Hg 0.1366 0.6366 0.0000
8 Hg 0.3634 0.1366 0.0000
9 Hg 0.6366 0.8634 0.0000
10 Hg 0.8634 0.3634 0.0000